# CsNdCoF6

CsNdCoF6 after structural relaxation (PBE with a Hubbard U, Alexandria).

Cell and atoms, written as extended XYZ:
```
18
Lattice="-3.270 -6.484 3.317 4.000 -4.434 -4.724 3.541 5.271 4.187" Properties=species:S:1:pos:R:3 pbc="T T T"
F 0.204 -2.270 5.371
F 1.972 -4.247 -0.343
F 4.067 -3.377 -2.592
F 2.299 -1.400 3.122
F 0.749 -6.671 0.898
F 3.522 1.024 1.882
F 2.218 0.954 4.051
F 4.209 -3.517 0.867
F -1.161 -4.554 3.153
F 5.432 -1.093 -0.374
F 2.053 -6.601 -1.271
F 0.062 -2.130 1.913
Nd 0.136 -0.606 3.752
Nd 1.771 2.636 2.094
Co 0.365 -5.459 -0.704
Co -1.635 -3.242 1.659
Cs 2.035 -4.479 2.859
Cs 2.236 -1.168 -0.079
```

## Properties
The magnetic moment is 3.000 μB per formula unit. The calculated total energy is -0.4090 Ry per atom.